Al2Ag5, relaxed, DFT PBEsol; energy of formation from the pure elements = -0.057 eV/atom; symmetry = No. 71; N(E_F) = 2.12 states/eV per cell; energy above the lowest structure with this stoichiometry = 34 meV per atom
1.0
2.873 0.000 0.000
0.000 3.948 0.000
-1.436 -1.974 10.004
Ag Al
5 2
Cartesian
0.000 1.974 7.211
1.436 0.000 5.730
1.436 0.000 0.000
1.436 0.000 2.792
0.000 1.974 4.273
1.436 0.000 8.531
0.000 1.974 1.473


Al6Ag, relaxed, DFT PBEsol; energy of formation from the pure elements = -0.017 eV/atom; symmetry = No. 139; N(E_F) = 2.45 states/eV per cell; energy above the lowest structure with this stoichiometry = 5 meV per atom
1.0
-0.732 0.992 -2.593
-1.986 -2.061 -0.228
-7.927 8.840 7.211
Al Ag
6 1
Cartesian
-2.668 0.636 -0.593
-2.657 2.377 1.660
-7.977 7.135 4.983
-5.348 3.033 1.081
-5.297 4.738 3.309
-7.988 5.395 2.730
0.000 0.000 0.000


Al3Ag5, relaxed, DFT PBEsol; energy of formation from the pure elements = -0.079 eV/atom; symmetry = No. 69; N(E_F) = 1.94 states/eV per cell; energy above the lowest structure with this stoichiometry = 13 meV per atom
1.0
4.801 0.046 0.000
-1.325 4.614 0.000
-1.738 -2.330 5.770
Ag Al
5 3
Cartesian
2.400 0.023 4.302
-0.663 2.307 4.302
-0.663 2.307 1.468
2.400 0.023 1.468
0.000 0.000 0.000
0.000 0.000 2.848
1.738 2.330 0.000
1.738 2.330 2.922


Al7Ag3, relaxed, DFT PBEsol; energy of formation from the pure elements = -0.022 eV/atom; symmetry = No. 6; N(E_F) = 2.94 states/eV per cell; energy above the lowest structure with this stoichiometry = 13 meV per atom
1.0
4.020 0.000 0.005
0.000 3.997 0.000
-1.997 0.000 10.080
Ag Al
3 7
Cartesian
2.018 1.998 8.051
2.010 0.000 2.031
0.002 0.000 0.004
0.008 1.998 6.052
0.015 1.998 10.082
0.010 0.000 8.076
0.004 0.000 4.039
2.015 1.998 4.008
2.018 0.000 6.066
0.001 1.998 2.004


Al2Ag3, relaxed, DFT PBEsol; energy of formation from the pure elements = -0.074 eV/atom; symmetry = No. 12; N(E_F) = 2.34 states/eV per cell; energy above the lowest structure with this stoichiometry = 10 meV per atom
1.0
-1.372 -2.134 1.302
2.547 -3.469 -6.123
6.006 -0.707 5.168
Al Ag
4 6
Cartesian
2.840 -4.064 -0.547
1.430 -2.105 1.180
5.751 -4.205 -0.833
4.341 -2.245 0.894
3.003 -0.353 2.584
1.414 -1.873 -1.579
0.000 0.000 0.000
5.766 -4.437 1.926
2.698 -3.723 -3.259
4.482 -2.586 3.606


Al5Ag, relaxed, DFT PBEsol; energy of formation from the pure elements = -0.002 eV/atom; symmetry = No. 47; N(E_F) = 2.62 states/eV per cell; energy above the lowest structure with this stoichiometry = 20 meV per atom
1.0
2.862 0.000 0.000
0.000 4.043 0.000
0.000 0.000 8.432
Al Ag
5 1
Cartesian
0.000 0.000 5.611
1.431 2.022 4.216
1.431 2.022 7.014
1.431 2.022 1.418
0.000 0.000 2.821
0.000 0.000 0.000


Al3Ag, relaxed, DFT PBEsol; energy of formation from the pure elements = -0.021 eV/atom; symmetry = No. 129; N(E_F) = 3.00 states/eV per cell
1.0
2.866 0.000 0.000
0.000 2.866 0.000
0.000 0.000 15.825
Ag Al
2 6
Cartesian
0.000 1.433 3.005
1.433 0.000 12.820
0.000 1.433 6.921
1.433 0.000 4.944
1.433 0.000 1.014
1.433 0.000 8.904
0.000 1.433 14.811
0.000 1.433 10.881


Al6Ag, relaxed, DFT PBEsol; energy of formation from the pure elements = -0.022 eV/atom; symmetry = No. 166; N(E_F) = 2.57 states/eV per cell; energy above the lowest structure with this stoichiometry = 0 meV per atom
1.0
2.866 0.000 0.000
1.433 2.482 0.000
1.433 0.827 15.930
Al Ag
6 1
Cartesian
2.866 1.655 4.530
1.433 0.827 9.120
1.433 0.827 2.248
2.866 1.655 11.401
4.299 2.482 6.810
4.299 2.482 13.682
0.000 0.000 0.000